1.
The following is a PBE calculation of a relaxed structure of LiCo2Si, from the Open Quantum Materials Database.

energy: -5.682 eV per atom

The structure in CIF format:
```
data_LiCo2Si
_cell_length_a 3.8611
_cell_length_b 3.8611
_cell_length_c 2.7360
_cell_angle_alpha 90.00
_cell_angle_beta 90.00
_cell_angle_gamma 90.00
_symmetry_space_group_name_H-M 'P 4/m m m'
_symmetry_Int_Tables_number 123
_symmetry_space_group_name_Hall '-P 4 2'
loop_
_atom_site_label
_atom_site_type_symbol
_atom_site_fract_x
_atom_site_fract_y
_atom_site_fract_z
Li1 Li 0.0000 0.0000 0.0000
Co1 Co 0.0000 0.5000 0.5000
Si1 Si 0.5000 0.5000 0.0000
```

=====

2.
The following is a PBE calculation of a relaxed structure of LiCo2Si, from the Open Quantum Materials Database.

energy: -5.244 eV per atom

The structure in CIF format:
```
data_LiCo2Si
_cell_length_a 3.8656
_cell_length_b 3.8656
_cell_length_c 6.9186
_cell_angle_alpha 90.00
_cell_angle_beta 90.00
_cell_angle_gamma 120.00
_symmetry_space_group_name_H-M 'P 63/m m c'
_symmetry_Int_Tables_number 194
_symmetry_space_group_name_Hall '-P 6c 2c'
loop_
_atom_site_label
_atom_site_type_symbol
_atom_site_fract_x
_atom_site_fract_y
_atom_site_fract_z
Li1 Li 0.3333 0.6667 0.2500
Co1 Co 0.3333 0.6667 0.5845
Si1 Si 0.0000 0.0000 0.2500
```

=====

3.
The following is a PBE calculation of a relaxed structure of LiCo2Si, from the Open Quantum Materials Database.

energy: -5.547 eV per atom

The structure in CIF format:
```
data_LiCo2Si
_cell_length_a 3.9433
_cell_length_b 3.9433
_cell_length_c 6.8188
_cell_angle_alpha 90.00
_cell_angle_beta 90.00
_cell_angle_gamma 120.00
_symmetry_space_group_name_H-M 'P 63/m m c'
_symmetry_Int_Tables_number 194
_symmetry_space_group_name_Hall '-P 6c 2c'
loop_
_atom_site_label
_atom_site_type_symbol
_atom_site_fract_x
_atom_site_fract_y
_atom_site_fract_z
Li1 Li 0.0000 0.0000 0.0000
Co1 Co 0.3333 0.6667 0.0868
Si1 Si 0.3333 0.6667 0.7500
```

=====

4.
The following is a PBE calculation of a relaxed structure of LiCo2Si, from the Open Quantum Materials Database.

energy: -5.627 eV per atom

The structure in CIF format:
```
data_LiCo2Si
_cell_length_a 2.7570
_cell_length_b 2.7570
_cell_length_c 5.5298
_cell_angle_alpha 90.00
_cell_angle_beta 90.00
_cell_angle_gamma 90.00
_symmetry_space_group_name_H-M 'P 4/m m m'
_symmetry_Int_Tables_number 123
_symmetry_space_group_name_Hall '-P 4 2'
loop_
_atom_site_label
_atom_site_type_symbol
_atom_site_fract_x
_atom_site_fract_y
_atom_site_fract_z
Li1 Li 0.0000 0.0000 0.0000
Co1 Co 0.5000 0.5000 0.2637
Si1 Si 0.0000 0.0000 0.5000
```

=====

5.
The following is a PBE calculation of a relaxed structure of LiCo2Si, from the Open Quantum Materials Database.

energy: -5.515 eV per atom

The structure in CIF format:
```
data_LiCo2Si
_cell_length_a 3.8743
_cell_length_b 3.8743
_cell_length_c 7.1808
_cell_angle_alpha 90.00
_cell_angle_beta 90.00
_cell_angle_gamma 120.00
_symmetry_space_group_name_H-M 'P 63/m m c'
_symmetry_Int_Tables_number 194
_symmetry_space_group_name_Hall '-P 6c 2c'
loop_
_atom_site_label
_atom_site_type_symbol
_atom_site_fract_x
_atom_site_fract_y
_atom_site_fract_z
Li1 Li 0.3333 0.6667 0.2500
Co1 Co 0.3333 0.6667 0.5872
Si1 Si 0.0000 0.0000 0.0000
```

=====

6.
The following is a PBE calculation of a relaxed structure of LiCo3Si5, from the Open Quantum Materials Database.

energy: -5.802 eV per atom

The structure in CIF format:
```
data_LiCo3Si5
_cell_length_a 4.8451
_cell_length_b 4.8451
_cell_length_c 5.9820
_cell_angle_alpha 90.00
_cell_angle_beta 90.00
_cell_angle_gamma 120.00
_symmetry_space_group_name_H-M 'P 6/m m m'
_symmetry_Int_Tables_number 191
_symmetry_space_group_name_Hall '-P 6 2'
loop_
_atom_site_label
_atom_site_type_symbol
_atom_site_fract_x
_atom_site_fract_y
_atom_site_fract_z
Li1 Li 0.0000 0.0000 0.0000
Co1 Co 0.0000 0.5000 0.5000
Si1 Si 0.0000 0.0000 0.5000
Si2 Si 0.3333 0.6667 0.1945
```

=====

7.
The following is a PBE calculation of a relaxed structure of LiCoSiSn, from the Open Quantum Materials Database.

energy: -4.357 eV per atom

The structure in CIF format:
```
data_LiCoSiSn
_cell_length_a 6.1715
_cell_length_b 6.1715
_cell_length_c 6.1715
_cell_angle_alpha 90.00
_cell_angle_beta 90.00
_cell_angle_gamma 90.00
_symmetry_space_group_name_H-M 'F -4 3 m'
_symmetry_Int_Tables_number 216
_symmetry_space_group_name_Hall 'F -4 2 3'
loop_
_atom_site_label
_atom_site_type_symbol
_atom_site_fract_x
_atom_site_fract_y
_atom_site_fract_z
Li1 Li 0.0000 0.0000 0.0000
Co1 Co 0.2500 0.2500 0.2500
Si1 Si 0.0000 0.0000 0.5000
Sn1 Sn 0.2500 0.2500 0.7500
```

=====

8.
The following is a PBE calculation of a relaxed structure of LiCoSiSn, from the Open Quantum Materials Database.

energy: -4.687 eV per atom

The structure in CIF format:
```
data_LiCoSiSn
_cell_length_a 6.0641
_cell_length_b 6.0641
_cell_length_c 6.0641
_cell_angle_alpha 90.00
_cell_angle_beta 90.00
_cell_angle_gamma 90.00
_symmetry_space_group_name_H-M 'F -4 3 m'
_symmetry_Int_Tables_number 216
_symmetry_space_group_name_Hall 'F -4 2 3'
loop_
_atom_site_label
_atom_site_type_symbol
_atom_site_fract_x
_atom_site_fract_y
_atom_site_fract_z
Li1 Li 0.0000 0.0000 0.0000
Co1 Co 0.0000 0.0000 0.5000
Si1 Si 0.2500 0.2500 0.2500
Sn1 Sn 0.2500 0.2500 0.7500
```

=====

9.
The following is a PBE calculation of a relaxed structure of LiCoSiW, from the Open Quantum Materials Database.

energy: -6.751 eV per atom

The structure in CIF format:
```
data_LiCoSiW
_cell_length_a 5.7805
_cell_length_b 5.7805
_cell_length_c 5.7805
_cell_angle_alpha 90.00
_cell_angle_beta 90.00
_cell_angle_gamma 90.00
_symmetry_space_group_name_H-M 'F -4 3 m'
_symmetry_Int_Tables_number 216
_symmetry_space_group_name_Hall 'F -4 2 3'
loop_
_atom_site_label
_atom_site_type_symbol
_atom_site_fract_x
_atom_site_fract_y
_atom_site_fract_z
Li1 Li 0.0000 0.0000 0.0000
Co1 Co 0.0000 0.0000 0.5000
Si1 Si 0.2500 0.2500 0.2500
W1 W 0.2500 0.2500 0.7500
```

=====

10.
The following is a PBE calculation of a relaxed structure of LiCoSiW, from the Open Quantum Materials Database.

energy: -6.694 eV per atom

The structure in CIF format:
```
data_LiCoSiW
_cell_length_a 5.8043
_cell_length_b 5.8043
_cell_length_c 5.8043
_cell_angle_alpha 90.00
_cell_angle_beta 90.00
_cell_angle_gamma 90.00
_symmetry_space_group_name_H-M 'F -4 3 m'
_symmetry_Int_Tables_number 216
_symmetry_space_group_name_Hall 'F -4 2 3'
loop_
_atom_site_label
_atom_site_type_symbol
_atom_site_fract_x
_atom_site_fract_y
_atom_site_fract_z
Li1 Li 0.0000 0.0000 0.0000
Co1 Co 0.2500 0.2500 0.7500
Si1 Si 0.0000 0.0000 0.5000
W1 W 0.2500 0.2500 0.2500
```

=====

11.
The following is a PBE calculation of a relaxed structure of LiZrCoSi, from the Open Quantum Materials Database.

energy: -6.323 eV per atom

The structure in CIF format:
```
data_LiZrCoSi
_cell_length_a 5.9693
_cell_length_b 5.9693
_cell_length_c 5.9693
_cell_angle_alpha 90.00
_cell_angle_beta 90.00
_cell_angle_gamma 90.00
_symmetry_space_group_name_H-M 'F -4 3 m'
_symmetry_Int_Tables_number 216
_symmetry_space_group_name_Hall 'F -4 2 3'
loop_
_atom_site_label
_atom_site_type_symbol
_atom_site_fract_x
_atom_site_fract_y
_atom_site_fract_z
Li1 Li 0.0000 0.0000 0.0000
Zr1 Zr 0.2500 0.2500 0.7500
Co1 Co 0.0000 0.0000 0.5000
Si1 Si 0.2500 0.2500 0.2500
```

=====

12.
The following is a PBE calculation of a relaxed structure of LiZrCoSi, from the Open Quantum Materials Database.

energy: -5.985 eV per atom

The structure in CIF format:
```
data_LiZrCoSi
_cell_length_a 6.0666
_cell_length_b 6.0666
_cell_length_c 6.0666
_cell_angle_alpha 90.00
_cell_angle_beta 90.00
_cell_angle_gamma 90.00
_symmetry_space_group_name_H-M 'F -4 3 m'
_symmetry_Int_Tables_number 216
_symmetry_space_group_name_Hall 'F -4 2 3'
loop_
_atom_site_label
_atom_site_type_symbol
_atom_site_fract_x
_atom_site_fract_y
_atom_site_fract_z
Li1 Li 0.0000 0.0000 0.0000
Zr1 Zr 0.2500 0.2500 0.2500
Co1 Co 0.2500 0.2500 0.7500
Si1 Si 0.0000 0.0000 0.5000
```

=====

13.
The following is a PBE calculation of a relaxed structure of LiZrCoSi, from the Open Quantum Materials Database.

energy: -5.993 eV per atom

The structure in CIF format:
```
data_LiZrCoSi
_cell_length_a 6.1560
_cell_length_b 6.1560
_cell_length_c 6.1560
_cell_angle_alpha 90.00
_cell_angle_beta 90.00
_cell_angle_gamma 90.00
_symmetry_space_group_name_H-M 'F -4 3 m'
_symmetry_Int_Tables_number 216
_symmetry_space_group_name_Hall 'F -4 2 3'
loop_
_atom_site_label
_atom_site_type_symbol
_atom_site_fract_x
_atom_site_fract_y
_atom_site_fract_z
Li1 Li 0.0000 0.0000 0.0000
Zr1 Zr 0.0000 0.0000 0.5000
Co1 Co 0.2500 0.2500 0.7500
Si1 Si 0.2500 0.2500 0.2500
```

=====

14.
The following is a PBE calculation of a relaxed structure of LiSmCo, from the Open Quantum Materials Database.

energy: -3.839 eV per atom

The structure in CIF format:
```
data_LiSmCo
_cell_length_a 6.3953
_cell_length_b 6.3953
_cell_length_c 6.3953
_cell_angle_alpha 90.00
_cell_angle_beta 90.00
_cell_angle_gamma 90.00
_symmetry_space_group_name_H-M 'F -4 3 m'
_symmetry_Int_Tables_number 216
_symmetry_space_group_name_Hall 'F -4 2 3'
loop_
_atom_site_label
_atom_site_type_symbol
_atom_site_fract_x
_atom_site_fract_y
_atom_site_fract_z
Li1 Li 0.0000 0.0000 0.0000
Sm1 Sm 0.2500 0.2500 0.7500
Co1 Co 0.0000 0.0000 0.5000
```